Entry from the Alexandria database: an optimized crystal structure of AlOsSe2 (GGA-PBE).

Cell lengths 2.994, 2.994, 8.414 Å; angles 90.00, 90.00, 90.00 degrees
Positions (direct):
Al: 0.000 0.000 0.000
Os: 0.500 0.500 0.212
Se: 0.000 0.000 0.387
Se: 0.500 0.500 0.790

Calculated values
N(E_F), states/eV per cell: 2.3
Raw formation energy, eV/atom: 0.0644
Space-group type: P4mm
Theoretical density, g/cm³: 8.259

Entry from the Alexandria database: an optimized crystal structure of AlOsSe2 (GGA-PBE).

Cell lengths 8.791, 3.025, 6.929 Å; angles 90.00, 104.85, 90.00 degrees
Positions (direct):
Al: 0.000 0.000 0.000
Al: 0.500 0.500 0.000
Os: 0.254 0.000 0.890
Os: 0.754 0.500 0.890
Se: 0.085 0.500 0.655
Se: 0.239 0.500 0.201
Se: 0.585 0.000 0.655
Se: 0.739 0.000 0.201

Calculated values
N(E_F), states/eV per cell: 5.8
Raw formation energy, eV/atom: 0.0060
Space-group type: Cm
Theoretical density, g/cm³: 6.994

Entry from the Alexandria database: an optimized crystal structure of AlOsSe2 (GGA-PBE).

Cell lengths 2.961, 4.417, 11.389 Å; angles 90.00, 90.00, 90.00 degrees
Positions (direct):
Al: 0.000 0.000 0.000
Al: 0.500 0.500 0.500
Os: 0.000 0.500 0.693
Os: 0.500 0.000 0.193
Se: 0.000 0.000 0.374
Se: 0.000 0.500 0.155
Se: 0.500 0.000 0.655
Se: 0.500 0.500 0.874

Calculated values
N(E_F), states/eV per cell: 3.8
Raw formation energy, eV/atom: 0.2371
Space-group type: Imm2
Theoretical density, g/cm³: 8.366

Entry from the Alexandria database: an optimized crystal structure of AlOs2Se (GGA-PBE).

Cell lengths 2.970, 2.970, 24.105 Å; angles 90.00, 90.00, 120.00 degrees
Positions (direct):
Al: 0.000 0.000 0.000
Al: 0.333 0.667 0.667
Al: 0.667 0.333 0.333
Os: 0.000 0.000 0.498
Os: 0.000 0.000 0.746
Os: 0.333 0.667 0.165
Os: 0.333 0.667 0.413
Os: 0.667 0.333 0.079
Os: 0.667 0.333 0.832
Se: 0.000 0.000 0.247
Se: 0.333 0.667 0.913
Se: 0.667 0.333 0.580

Calculated values
N(E_F), states/eV per cell: 7.1
Raw formation energy, eV/atom: 0.2784
Space-group type: R3m
Theoretical density, g/cm³: 13.160

Entry from the Alexandria database: an optimized crystal structure of AlOs2Se (GGA-PBE).

Cell lengths 2.880, 4.855, 8.757 Å; angles 90.00, 90.00, 90.00 degrees
Positions (direct):
Al: 0.000 0.000 0.000
Al: 0.500 0.500 0.500
Os: 0.000 0.500 0.240
Os: 0.000 0.500 0.760
Os: 0.500 0.000 0.260
Os: 0.500 0.000 0.740
Se: 0.000 0.000 0.500
Se: 0.500 0.500 0.000

Calculated values
N(E_F), states/eV per cell: 8.0
Raw formation energy, eV/atom: 0.4990
Space-group type: Immm
Theoretical density, g/cm³: 13.192

Entry from the Alexandria database: an optimized crystal structure of AlOs2Se (GGA-PBE).

Cell lengths 5.684, 5.684, 10.439 Å; angles 90.00, 90.00, 90.00 degrees
Positions (direct):
Al: 0.000 0.000 0.000
Al: 0.000 0.500 0.250
Al: 0.500 0.000 0.750
Al: 0.500 0.500 0.500
Os: 0.236 0.250 0.625
Os: 0.250 0.736 0.875
Os: 0.250 0.764 0.375
Os: 0.264 0.250 0.125
Os: 0.736 0.750 0.125
Os: 0.750 0.236 0.375
Os: 0.750 0.264 0.875
Os: 0.764 0.750 0.625
Se: 0.000 0.000 0.500
Se: 0.000 0.500 0.750
Se: 0.500 0.000 0.250
Se: 0.500 0.500 0.000

Calculated values
N(E_F), states/eV per cell: 20.6
Raw formation energy, eV/atom: 0.9529
Space-group type: I-42d
Theoretical density, g/cm³: 9.580

Entry from the Alexandria database: an optimized crystal structure of AlOs2Se (GGA-PBE).

Cell lengths 6.147, 6.147, 6.147 Å; angles 90.00, 90.00, 90.00 degrees
Positions (direct):
Al: 0.000 0.000 0.000
Al: 0.000 0.500 0.500
Al: 0.500 0.000 0.500
Al: 0.500 0.500 0.000
Os: 0.250 0.250 0.250
Os: 0.250 0.250 0.750
Os: 0.250 0.750 0.250
Os: 0.250 0.750 0.750
Os: 0.750 0.250 0.250
Os: 0.750 0.250 0.750
Os: 0.750 0.750 0.250
Os: 0.750 0.750 0.750
Se: 0.000 0.000 0.500
Se: 0.000 0.500 0.000
Se: 0.500 0.000 0.000
Se: 0.500 0.500 0.500

Calculated values
N(E_F), states/eV per cell: 5.4
Raw formation energy, eV/atom: 0.3258
Space-group type: Fm-3m
Theoretical density, g/cm³: 13.912

Entry from the Alexandria database: an optimized crystal structure of AlOs2Se (GGA-PBE).

Cell lengths 6.284, 6.284, 6.284 Å; angles 90.00, 90.00, 90.00 degrees
Positions (direct):
Al: 0.000 0.000 0.000
Al: 0.000 0.500 0.500
Al: 0.500 0.000 0.500
Al: 0.500 0.500 0.000
Os: 0.000 0.000 0.500
Os: 0.000 0.500 0.000
Os: 0.250 0.250 0.750
Os: 0.250 0.750 0.250
Os: 0.500 0.000 0.000
Os: 0.500 0.500 0.500
Os: 0.750 0.250 0.250
Os: 0.750 0.750 0.750
Se: 0.250 0.250 0.250
Se: 0.250 0.750 0.750
Se: 0.750 0.250 0.750
Se: 0.750 0.750 0.250

Calculated values
N(E_F), states/eV per cell: 27.0
Raw formation energy, eV/atom: 0.7217
Space-group type: F-43m
Theoretical density, g/cm³: 13.021